1.
# Li4Ga2Ag3 | Alexandria | PBE-GGA | relaxed
# SG ... C2/m (12)
# Energy of formation ... -2.14 eV/f.u.
data_Li4Ga2Ag3
_chemical_formula_sum 'Li4 Ga2 Ag3'
_cell_length_a 4.450
_cell_length_b 5.296
_cell_length_c 7.100
_cell_angle_alpha 81.65
_cell_angle_beta 71.74
_cell_angle_gamma 65.16
_symmetry_space_group_name_H-M 'P 1'
_symmetry_Int_Tables_number 1
loop_
_symmetry_equiv_pos_as_xyz
'x,y,z'
loop_
_atom_site_label
_atom_site_type_symbol
_atom_site_fract_x
_atom_site_fract_y
_atom_site_fract_z
Ga1 Ga 0.332 0.122 0.214
Li1 Li 0.006 0.329 0.658
Li2 Li 0.994 0.671 0.342
Ga2 Ga 0.668 0.878 0.786
Ag1 Ag 0.330 0.787 0.553
Ag2 Ag 0.000 0.000 0.000
Li3 Li 0.338 0.448 0.875
Ag3 Ag 0.670 0.213 0.447
Li4 Li 0.662 0.552 0.125

***

2.
# NiGeCl2 | Alexandria | PBE-GGA | relaxed
# SG ... I-42d (122)
# Formation energy from raw total energies ... 0.066 eV/atom
data_NiGeCl2
_chemical_formula_sum 'Ni2 Ge2 Cl4'
_cell_length_a 6.035
_cell_length_b 6.035
_cell_length_c 6.544
_cell_angle_alpha 62.54
_cell_angle_beta 62.54
_cell_angle_gamma 90.00
_symmetry_space_group_name_H-M 'P 1'
_symmetry_Int_Tables_number 1
loop_
_symmetry_equiv_pos_as_xyz
'x,y,z'
loop_
_atom_site_label
_atom_site_type_symbol
_atom_site_fract_x
_atom_site_fract_y
_atom_site_fract_z
Cl1 Cl 0.190 0.625 0.250
Ge1 Ge 0.750 0.250 0.500
Cl2 Cl 0.560 0.125 0.250
Ni1 Ni 0.500 0.500 0.000
Cl3 Cl 0.375 0.440 0.750
Cl4 Cl 0.875 0.810 0.750
Ni2 Ni 0.250 0.750 0.500
Ge2 Ge 0.000 0.000 0.000

***

Question: What is the formula in the second record?
Answer: NiGeCl2